Entry 1:
Here is an optimized crystal structure of MnBeW from Alexandria. Energies are from PBE.

Summary:
E_form: 52 meV/atom
E: -8.56 eV/atom
Space group: I4mm

Lattice parameters (Å, degrees): 4.5349 4.5349 4.5349 141.82 141.82 55.11
Fractional positions:
Be: 0.9879 0.9879 0.0000
Mn: 0.3443 0.3443 0.0000
W: 0.6678 0.6678 0.0000

Entry 2:
Here is an optimized crystal structure of RbMn3Tl from Alexandria. Energies are from PBE.

Summary:
E_form: 1113 meV/atom
E: -5.06 eV/atom
ΔE to the lowest computed polymorph: 0.000 eV per atom
Space group: Pm-3m

Lattice parameters (Å, degrees): 5.3498 5.3498 5.3498 90.00 90.00 90.00
Each line ends with the local moment (μB).
Fractional positions:
Tl: 0.0000 0.0000 0.0000  -0.06
Mn: 0.0000 0.5000 0.0000  4.11
Mn: 0.0000 0.0000 0.5000  4.22
Mn: 0.5000 0.0000 0.0000  3.91
Rb: 0.5000 0.5000 0.5000  -0.01

Entry 3:
Here is an optimized crystal structure of Tb7NdY12 from Alexandria. Energies are from PBE.

Summary:
E_form: 678 meV/atom
E: -5.06 eV/atom
ΔE to the lowest computed polymorph: 0.397 eV per atom
Space group: Im-3m

Lattice parameters (Å, degrees): 9.7874 9.7874 9.7874 109.47 109.47 109.47
Fractional positions:
Tb: 0.5000 0.5000 0.0000
Tb: 0.0000 0.5000 0.5000
Tb: 0.5000 0.0000 0.5000
Tb: 0.5000 0.5000 0.5000
Tb: 0.0000 0.0000 0.5000
Tb: 0.5000 0.0000 0.0000
Tb: 0.0000 0.5000 0.0000
Nd: 0.0000 0.0000 0.0000
Y: 0.4947 0.7473 0.7474
Y: 0.9999 0.7473 0.2526
Y: 0.5053 0.2527 0.2526
Y: 0.0001 0.2527 0.7474
Y: 0.7474 0.0001 0.2527
Y: 0.7474 0.4947 0.7473
Y: 0.2526 0.9999 0.7473
Y: 0.2526 0.5053 0.2527
Y: 0.7473 0.7474 0.4947
Y: 0.2527 0.2526 0.5053
Y: 0.7473 0.2526 0.9999
Y: 0.2527 0.7474 0.0001

Entry 4:
Here is an optimized crystal structure of CuSb2PdI from Alexandria. Energies are from PBE.

Summary:
Energy relative to the elements, uncorrected: 0.659 eV per atom
E: -3.16 eV/atom
Space group: P4/mmm

Lattice parameters (Å, degrees): 5.0263 5.0263 5.3610 90.00 90.00 90.00
Fractional positions:
I: 0.0000 0.0000 0.5000
Sb: 0.0000 0.5000 0.0000
Sb: 0.5000 0.0000 0.0000
Cu: 0.0000 0.0000 0.0000
Pd: 0.5000 0.5000 0.5000